Record 1
First-principles (GGA-PBE) data for a geometry-optimized Al2ZnRh structure, as listed in Alexandria via LeMat-Bulk.

Computed properties:
**ΔE_f**: -496 meV/atom

The structure in POSCAR format:
```
Al2ZnRh
1.0
4.035 0.000 0.000
0.000 4.035 0.000
0.000 0.000 3.493
Rh Zn Al
1 1 2
direct
0.500 0.000 0.500
0.000 0.500 0.500
0.500 0.500 0.000
0.000 0.000 0.000
```

=====

Record 2
First-principles (GGA-PBE) data for a geometry-optimized POs2Pt structure, as listed in Alexandria via LeMat-Bulk.

Computed properties:
**ΔE_f**: 684 meV/atom

The structure in POSCAR format:
```
POs2Pt
1.0
-1.638 2.497 3.198
0.393 4.353 -0.204
-3.525 2.482 -0.750
P Pt Os
1 1 2
direct
0.500 0.500 0.500
0.250 0.250 0.250
0.750 0.750 0.750
0.000 0.000 0.000
```

=====

Record 3
First-principles (GGA-PBE) data for a geometry-optimized BaLiTl2 structure, as listed in Alexandria via LeMat-Bulk.

Computed properties:
**ΔE_f**: -220 meV/atom

The structure in POSCAR format:
```
BaLiTl2
1.0
5.156 0.000 0.000
0.000 3.940 -0.024
0.000 0.869 6.430
Tl Li Ba
2 1 1
direct
0.000 0.058 0.943
0.500 0.144 0.225
0.500 0.735 0.873
0.000 0.563 0.458
```

=====

Record 4
First-principles (GGA-PBE) data for a geometry-optimized TaBeAg2 structure, as listed in Alexandria via LeMat-Bulk.

Computed properties:
**ΔE_f**: 386 meV/atom

The structure in POSCAR format:
```
TaBeAg2
1.0
-3.263 -0.038 -4.048
-2.440 -2.637 -3.758
-4.496 -1.254 1.523
Ag Ta Be
2 1 1
direct
0.787 0.787 0.756
0.010 0.010 0.982
0.220 0.220 0.308
0.483 0.483 0.454
```

=====

Record 5
First-principles (GGA-PBE) data for a geometry-optimized Zr2BrCl structure, as listed in Alexandria via LeMat-Bulk.

Computed properties:
**Energy above the most stable polymorph in this dataset**: 1401 meV per atom
**Formation energy (no corrections)**: 0.2672 eV per atom

The structure in POSCAR format:
```
Zr2BrCl
1.0
-0.718 -3.406 3.771
2.793 -4.303 0.137
3.587 -0.617 3.617
Br Zr Cl
1 2 1
direct
0.500 0.500 0.500
0.000 0.000 0.000
0.250 0.250 0.250
0.750 0.750 0.750
```

=====

Record 6
First-principles (GGA-PBE) data for a geometry-optimized RbNa3C structure, as listed in Alexandria via LeMat-Bulk.

Computed properties:
**ΔE_f**: 769 meV/atom
**Energy above the most stable polymorph in this dataset**: 0 meV per atom

The structure in POSCAR format:
```
RbNa3C
1.0
-0.020 0.682 5.204
-2.251 -4.703 0.608
4.742 -2.229 0.311
Na Rb C
3 1 1
direct
0.000 0.500 0.000
0.500 0.000 0.000
0.000 0.000 0.500
0.500 0.500 0.500
0.000 0.000 0.000
```

=====

Record 7
First-principles (GGA-PBE) data for a geometry-optimized LiPaFeN3 structure, as listed in Alexandria via LeMat-Bulk.

Computed properties:
**Formation energy (no corrections)**: -0.7816 eV per atom

The structure in POSCAR format:
```
LiPaFeN3
1.0
-1.481 -2.944 0.427
4.311 -1.689 3.308
-6.532 3.778 3.382
Pa N Fe Li
2 6 2 2
direct
0.750 0.756 0.783
0.250 0.244 0.217
0.250 0.498 0.805
0.750 0.502 0.195
0.250 0.797 0.512
0.250 0.061 0.898
0.750 0.939 0.102
0.750 0.203 0.488
0.250 0.168 0.584
0.750 0.832 0.416
0.250 0.672 0.093
0.750 0.328 0.907
```

=====

Record 8
First-principles (GGA-PBE) data for a geometry-optimized CoTc2HOs structure, as listed in Alexandria via LeMat-Bulk.

Computed properties:
**E_tot**: -8.41 eV/atom

The structure in POSCAR format:
```
CoTc2HOs
1.0
-2.135 -1.597 -2.792
2.533 -2.900 -0.279
-1.926 -1.931 2.578
Os Tc Co H
1 2 1 1
direct
0.500 0.500 0.500
0.000 0.500 0.000
0.500 0.000 0.000
0.000 0.000 0.500
0.000 0.000 0.000
```

=====

Record 9
First-principles (GGA-PBE) data for a geometry-optimized TbSnPt6 structure, as listed in Alexandria via LeMat-Bulk.

Computed properties:
**ΔE_f**: -699 meV/atom

The structure in POSCAR format:
```
TbSnPt6
1.0
4.102 0.000 0.000
0.000 4.102 0.000
0.000 0.000 8.166
Tb Pt Sn
1 6 1
direct
0.000 0.000 0.000
0.000 0.500 0.256
0.500 0.500 0.000
0.500 0.000 0.744
0.500 0.500 0.500
0.500 0.000 0.256
0.000 0.500 0.744
0.000 0.000 0.500
```

=====

Record 10
First-principles (GGA-PBE) data for a geometry-optimized SiSeN structure, as listed in Alexandria via LeMat-Bulk.

Computed properties:
**Energy above the most stable polymorph in this dataset**: 246 meV per atom
**Formation energy (no corrections)**: -0.1943 eV per atom

The structure in POSCAR format:
```
SiSeN
1.0
-4.693 -2.060 3.879
1.158 -3.413 -0.411
9.041 2.424 5.340
Si N Se
4 4 4
direct
0.452 0.500 0.365
0.452 0.000 0.865
0.548 0.500 0.635
0.548 0.000 0.135
0.500 0.814 0.500
0.500 0.686 0.000
0.500 0.314 0.000
0.500 0.186 0.500
0.764 0.500 0.298
0.764 0.000 0.798
0.236 0.000 0.202
0.236 0.500 0.702
```

=====

Record 11
First-principles (GGA-PBE) data for a geometry-optimized Zn3ReAs structure, as listed in Alexandria via LeMat-Bulk.

Computed properties:
**ΔE_f**: 1157 meV/atom
**Energy above the most stable polymorph in this dataset**: 0 meV per atom

The structure in POSCAR format:
```
Zn3ReAs
1.0
-4.526 -0.431 -1.642
-0.637 -3.902 2.781
-1.573 2.820 3.597
Zn As Re
3 1 1
direct
0.500 0.000 0.000
0.000 0.500 0.000
0.000 0.000 0.500
0.500 0.500 0.500
0.000 0.000 0.000
```

=====

Record 12
First-principles (GGA-PBE) data for a geometry-optimized TiBeTl2Si structure, as listed in Alexandria via LeMat-Bulk.

Computed properties:
**Formation energy (no corrections)**: 0.7392 eV per atom

The structure in POSCAR format:
```
TiBeTl2Si
1.0
5.118 0.000 0.000
0.000 4.063 0.000
0.000 0.000 5.118
Tl Si Be Ti
2 1 1 1
direct
0.500 0.000 0.000
0.000 0.000 0.500
0.000 0.500 0.000
0.000 0.000 0.000
0.500 0.500 0.500
```